Run P
! CdPd2Au6 PBE optimized geometry; values from VASP
&SYSTEM
  ibrav = 0, nat = 9, ntyp = 3
/
ATOMIC_SPECIES
Cd 112.41 Cd.upf
Pd 106.42 Pd.upf
Au 196.97 Au.upf
CELL_PARAMETERS angstrom
4.850 -3.985 0.000
4.850 3.985 0.000
-2.319 0.000 4.244
ATOMIC_POSITIONS crystal
Cd 0.000 0.000 0.000
Pd 0.331 0.331 0.331
Pd 0.669 0.669 0.669
Au 0.151 0.510 0.830
Au 0.192 0.808 0.500
Au 0.490 0.849 0.170
Au 0.510 0.151 0.830
Au 0.808 0.192 0.500
Au 0.849 0.490 0.170
! Symmetry ... C2/m (12)
! Total magnetic moment ... 0.00 μB/atom

***

Run Q
! CdPd2Au6 PBE optimized geometry; values from VASP
&SYSTEM
  ibrav = 0, nat = 18, ntyp = 3
/
ATOMIC_SPECIES
Cd 112.41 Cd.upf
Pd 106.42 Pd.upf
Au 196.97 Au.upf
CELL_PARAMETERS angstrom
8.854 0.000 0.000
0.000 8.854 0.000
0.000 0.000 4.036
ATOMIC_POSITIONS crystal
Cd 0.000 0.000 0.000
Cd 0.500 0.500 0.500
Pd 0.163 0.163 0.500
Pd 0.337 0.663 0.000
Pd 0.663 0.337 0.000
Pd 0.837 0.837 0.500
Au 0.001 0.668 0.000
Au 0.168 0.499 0.500
Au 0.170 0.830 0.500
Au 0.330 0.330 0.000
Au 0.332 0.999 0.000
Au 0.499 0.168 0.500
Au 0.501 0.832 0.500
Au 0.668 0.001 0.000
Au 0.670 0.670 0.000
Au 0.830 0.170 0.500
Au 0.832 0.501 0.500
Au 0.999 0.332 0.000
! Symmetry ... P4_2/mnm (136)
! Total magnetic moment ... 0.00 μB/atom

***

Most stable structure among those shown: run Q.